BiAsPd3 | PBE | optimized geometry

Computed properties:
Density of states at the Fermi level = 9.9 states/eV per cell
Calculated formation energy = -267 meV/atom
Energy above the most stable polymorph in this dataset = 35 meV per atom

a = 7.7888 Å, b = 5.7018 Å, c = 10.1000 Å
α = 90.00°, β = 121.71°, γ = 90.00°
Last column: nearest neighbours and their distance in Å.
Space group P2_1/c (No. 14)
Unique sites:
Bi  0.2082  0.2357  0.0994 (multiplicity 4)  7 Pd 2.80-2.97
As  0.3068  0.6549  0.3348 (multiplicity 4)  6 Pd 2.51-2.73
Pd  0.0131  0.5595  0.7132 (multiplicity 4)  2 As 2.54-2.58
Pd  0.2174  0.7248  0.0436 (multiplicity 4)  2 As 2.64-2.67, 2 Bi 2.85, 2 Pd 2.92-2.95
Pd  0.3870  0.1955  0.4218 (multiplicity 4)  2 As 2.51-2.73, 1 Pd 2.76, 1 Bi 2.80

---

BiAsPd2 | PBE | optimized geometry

Computed properties:
Density of states at the Fermi level = 2.7 states/eV per cell
Calculated formation energy = -170 meV/atom

a = 4.7336 Å, b = 4.7336 Å, c = 15.9134 Å
α = 90.00°, β = 90.00°, γ = 90.00°
Last column: nearest neighbours and their distance in Å.
Space group I-42d (No. 122)
Unique sites:
Bi  0.0000  0.0000  0.0000 (multiplicity 4)  4 Pd 2.78
As  0.0000  0.0000  0.5000 (multiplicity 4)  4 Pd 2.46
Pd  0.1733  0.2500  0.6250 (multiplicity 8)  2 As 2.46

---

BiAsPd3 | PBE | optimized geometry

Computed properties:
Density of states at the Fermi level = 12.5 states/eV per cell
Calculated formation energy = -71 meV/atom
Energy above the most stable polymorph in this dataset = 231 meV per atom

a = 4.7189 Å, b = 4.7189 Å, c = 4.7189 Å
α = 90.00°, β = 90.00°, γ = 90.00°
Last column: nearest neighbours and their distance in Å.
Space group Pm-3m (No. 221)
Unique sites:
Bi  0.0000  0.0000  0.0000 (multiplicity 1)  12 Pd 3.34
As  0.5000  0.5000  0.5000 (multiplicity 1)  6 Pd 2.36
Pd  0.0000  0.5000  0.5000 (multiplicity 3)  2 As 2.36

---

BiAsPd2 | PBE | optimized geometry

Computed properties:
Density of states at the Fermi level = 1.6 states/eV per cell
Calculated formation energy = -166 meV/atom

a = 4.6557 Å, b = 4.6557 Å, c = 3.5290 Å
α = 90.00°, β = 90.00°, γ = 90.00°
Last column: nearest neighbours and their distance in Å.
Space group P4/mmm (No. 123)
Unique sites:
Bi  0.0000  0.0000  0.0000 (multiplicity 1)  8 Pd 2.92
As  0.5000  0.5000  0.0000 (multiplicity 1)  8 Pd 2.92
Pd  0.0000  0.5000  0.5000 (multiplicity 2)  4 As 2.92, 4 Bi 2.92

---

BiAs2Pd2 | PBE | optimized geometry

Computed properties:
Density of states at the Fermi level = 6.1 states/eV per cell
Calculated formation energy = -136 meV/atom
Energy above the most stable polymorph in this dataset = 8 meV per atom

a = 4.4141 Å, b = 4.4141 Å, c = 10.3602 Å
α = 90.00°, β = 90.00°, γ = 90.00°
Last column: nearest neighbours and their distance in Å.
Space group I4/mmm (No. 139)
Unique sites:
Bi  0.0000  0.0000  0.0000 (multiplicity 2)  8 As 3.37, 8 Pd 3.40
As  0.0000  0.0000  0.3778 (multiplicity 4)  1 As 2.53, 4 Pd 2.57
Pd  0.0000  0.5000  0.2500 (multiplicity 4)  4 As 2.57

---

Bi2As2Pd | PBE | optimized geometry

Computed properties:
Density of states at the Fermi level = 3.8 states/eV per cell
Calculated formation energy = 150 meV/atom

a = 7.5626 Å, b = 7.5626 Å, c = 4.2482 Å
α = 90.00°, β = 90.00°, γ = 90.00°
Last column: nearest neighbours and their distance in Å.
Space group P4/mbm (No. 127)
Unique sites:
Bi  0.1625  0.3375  0.0000 (multiplicity 4)  2 As 2.80
As  0.1670  0.6670  0.5000 (multiplicity 4)  2 Bi 2.80, 2 Pd 2.82
Pd  0.0000  0.0000  0.5000 (multiplicity 2)  4 As 2.82

---

BiAs2Pd4 | PBE | optimized geometry

Computed properties:
Density of states at the Fermi level = 4.5 states/eV per cell
Calculated formation energy = -279 meV/atom

a = 8.5369 Å, b = 8.5369 Å, c = 3.4983 Å
α = 90.00°, β = 90.00°, γ = 90.00°
Last column: nearest neighbours and their distance in Å.
Space group P4_2/mnm (No. 136)
Unique sites:
Bi  0.0000  0.0000  0.0000 (multiplicity 2)  8 Pd 3.16, 6 As 3.20-3.33, 2 Bi 3.50
As  0.2350  0.2350  0.5000 (multiplicity 4)  6 Pd 2.52-2.55
Pd  0.0515  0.6961  0.5000 (multiplicity 8)  3 As 2.52-2.55

---

BiAsPd3 | PBE | optimized geometry

Computed properties:
Density of states at the Fermi level = 3.3 states/eV per cell
Calculated formation energy = 812 meV/atom
Energy above the most stable polymorph in this dataset = 1114 meV per atom

a = 5.0353 Å, b = 5.0353 Å, c = 5.0353 Å
α = 90.00°, β = 90.00°, γ = 90.00°
Last column: nearest neighbours and their distance in Å.
Space group Pm-3m (No. 221)
Unique sites:
Bi  0.0000  0.0000  0.0000 (multiplicity 1)  6 Pd 2.52
As  0.5000  0.5000  0.5000 (multiplicity 1)  12 Pd 3.56
Pd  0.0000  0.0000  0.5000 (multiplicity 3)  2 Bi 2.52

---

Bi3AsPd4 | PBE | optimized geometry

Computed properties:
Density of states at the Fermi level = 9.2 states/eV per cell
Calculated formation energy = -188 meV/atom

a = 5.8155 Å, b = 9.9566 Å, c = 5.8853 Å
α = 90.00°, β = 90.00°, γ = 90.00°
Last column: nearest neighbours and their distance in Å.
Space group Imm2 (No. 44)
Unique sites:
Bi  0.0000  0.0000  0.0000 (multiplicity 2)  4 Pd 2.81-2.95
Bi  0.0000  0.2922  0.7125 (multiplicity 4)  6 Pd 2.87-3.02
As  0.0000  0.5000  0.2908 (multiplicity 2)  4 Pd 2.52-2.54
Pd  0.0000  0.2500  0.2204 (multiplicity 4)  1 As 2.52, 1 Bi 2.81
Pd  0.2458  0.0000  0.4390 (multiplicity 4)  1 As 2.54

---

BiAs2Pd | PBE | optimized geometry

Computed properties:
Density of states at the Fermi level = 10.5 states/eV per cell
Calculated formation energy = -1 meV/atom

a = 6.0737 Å, b = 6.0737 Å, c = 12.1068 Å
α = 90.00°, β = 90.00°, γ = 90.00°
Last column: nearest neighbours and their distance in Å.
Space group I-42d (No. 122)
Unique sites:
Bi  0.0000  0.0000  0.0000 (multiplicity 4)  4 As 2.84
As  0.1938  0.2500  0.6250 (multiplicity 8)  2 Pd 2.45
Pd  0.0000  0.0000  0.5000 (multiplicity 4)  4 As 2.45

---

BiAs2Pd | PBE | optimized geometry

Computed properties:
Density of states at the Fermi level = 2.7 states/eV per cell
Calculated formation energy = -159 meV/atom

a = 11.5604 Å, b = 3.7316 Å, c = 4.4333 Å
α = 90.00°, β = 108.46°, γ = 90.00°
Last column: nearest neighbours and their distance in Å.
Space group C2/m (No. 12)
Unique sites:
Bi  0.0000  0.0000  0.0000 (multiplicity 2)  4 Pd 2.90, 2 As 3.02
As  0.2283  0.5000  0.6642 (multiplicity 4)  1 Pd 2.51, 2 As 2.51
Pd  0.0000  0.5000  0.5000 (multiplicity 2)  2 As 2.51

---

BiAsPd2 | PBE | optimized geometry

Computed properties:
Density of states at the Fermi level = 8.7 states/eV per cell
Calculated formation energy = -201 meV/atom

a = 4.2414 Å, b = 4.2414 Å, c = 15.9748 Å
α = 90.00°, β = 90.00°, γ = 120.00°
Last column: nearest neighbours and their distance in Å.
Space group R3m (No. 160, hexagonal axes)
Unique sites:
Bi  0.0000  0.0000  0.0000 (multiplicity 3)  1 As 2.95, 6 Pd 2.96-3.10
As  0.0000  0.0000  0.8153 (multiplicity 3)  6 Pd 2.55-2.66
Pd  0.0000  0.0000  0.2144 (multiplicity 3)  3 As 2.66
Pd  0.0000  0.0000  0.4375 (multiplicity 3)  3 As 2.55

---

BiAsPd2 | PBE | optimized geometry

Computed properties:
Density of states at the Fermi level = 3.3 states/eV per cell
Calculated formation energy = -221 meV/atom

a = 3.3086 Å, b = 3.3086 Å, c = 6.9897 Å
α = 90.00°, β = 90.00°, γ = 90.00°
Last column: nearest neighbours and their distance in Å.
Space group P4/mmm (No. 123)
Unique sites:
Bi  0.0000  0.0000  0.0000 (multiplicity 1)  8 Pd 3.12, 4 Bi 3.31
As  0.0000  0.0000  0.5000 (multiplicity 1)  8 Pd 2.74
Pd  0.5000  0.5000  0.2946 (multiplicity 2)  4 As 2.74, 1 Pd 2.87

---

BiAsPd2 | PBE | optimized geometry

Computed properties:
Density of states at the Fermi level = 3.6 states/eV per cell
Calculated formation energy = -241 meV/atom

a = 4.0421 Å, b = 6.5776 Å, c = 7.0400 Å
α = 104.31°, β = 104.06°, γ = 100.11°
Last column: nearest neighbours and their distance in Å.
Space group P1 (No. 1)
Unique sites:
Bi  0.0000  0.0000  0.0000 (multiplicity 1)  5 Pd 2.84-2.95, 1 As 3.01
Bi  0.1427  0.6811  0.4262 (multiplicity 1)  6 Pd 2.81-3.02
As  0.0226  0.1685  0.4427 (multiplicity 1)  3 Pd 2.50-2.54
As  0.8396  0.4624  0.9190 (multiplicity 1)  6 Pd 2.49-2.66
Pd  0.3482  0.6763  0.8355 (multiplicity 1)  2 As 2.56-2.66, 2 Bi 2.81-2.85
Pd  0.4211  0.0895  0.7411 (multiplicity 1)  2 As 2.54
Pd  0.4428  0.4485  0.1411 (multiplicity 1)  2 As 2.50-2.59
Pd  0.6320  0.4040  0.5415 (multiplicity 1)  3 As 2.49-2.50

---

BiAs2Pd8 | PBE | optimized geometry

Computed properties:
Density of states at the Fermi level = 3.6 states/eV per cell
Calculated formation energy = -339 meV/atom

a = 4.9022 Å, b = 5.7631 Å, c = 7.4218 Å
α = 110.51°, β = 104.48°, γ = 98.84°
Last column: nearest neighbours and their distance in Å.
Space group P-1 (No. 2)
Unique sites:
Bi  0.0000  0.0000  0.0000 (multiplicity 1)  10 Pd 2.81-2.93
As  0.4036  0.3082  0.6830 (multiplicity 2)  8 Pd 2.48-2.68
Pd  0.1524  0.8933  0.3630 (multiplicity 2)  3 As 2.56-2.68, 1 Pd 2.82
Pd  0.2002  0.4252  0.3914 (multiplicity 2)  2 As 2.51-2.58, 1 Pd 2.80
Pd  0.2475  0.5824  0.9574 (multiplicity 2)  2 As 2.48-2.58, 1 Pd 2.77
Pd  0.3876  0.9051  0.7636 (multiplicity 2)  1 As 2.59, 4 Pd 2.82-2.89, 1 Bi 2.88

---

BiAsPd4 | PBE | optimized geometry

Computed properties:
Density of states at the Fermi level = 6.3 states/eV per cell
Calculated formation energy = -290 meV/atom
Energy above the most stable polymorph in this dataset = 0 meV per atom

a = 4.7281 Å, b = 5.6183 Å, c = 8.7984 Å
α = 108.46°, β = 102.87°, γ = 90.11°
Last column: nearest neighbours and their distance in Å.
Space group P-1 (No. 2)
Unique sites:
Bi  0.2504  0.2282  0.0003 (multiplicity 2)  8 Pd 2.84-2.95
As  0.0000  0.5000  0.5000 (multiplicity 1)  6 Pd 2.52-2.59
As  0.5000  0.0000  0.5000 (multiplicity 1)  6 Pd 2.52-2.58
Pd  0.1032  0.9698  0.6545 (multiplicity 2)  2 As 2.55-2.58, 1 Pd 2.80, 1 Bi 2.85
Pd  0.1648  0.5495  0.8017 (multiplicity 2)  1 As 2.52
Pd  0.3348  0.7482  0.1987 (multiplicity 2)  1 As 2.52
Pd  0.3971  0.3160  0.3459 (multiplicity 2)  2 As 2.54-2.59, 1 Pd 2.80, 1 Bi 2.84

---

BiAsPd3 | PBE | optimized geometry

Computed properties:
Density of states at the Fermi level = 9.2 states/eV per cell
Calculated formation energy = -302 meV/atom
Energy above the most stable polymorph in this dataset = 0 meV per atom

a = 3.7394 Å, b = 7.3409 Å, c = 13.9653 Å
α = 90.00°, β = 90.00°, γ = 90.00°
Last column: nearest neighbours and their distance in Å.
Space group Immm (No. 71)
Unique sites:
Bi  0.0000  0.2200  0.0000 (multiplicity 4)  6 Pd 2.79-2.99
As  0.0000  0.0000  0.2363 (multiplicity 4)  8 Pd 2.57-2.59
Pd  0.0000  0.2994  0.3333 (multiplicity 8)  3 As 2.57-2.58
Pd  0.0000  0.5000  0.1350 (multiplicity 4)  2 As 2.59, 2 Bi 2.79

---

Bi3AsPd12 | PBE | optimized geometry

Computed properties:
Density of states at the Fermi level = 12.6 states/eV per cell
Calculated formation energy = -210 meV/atom

a = 4.1290 Å, b = 4.1290 Å, c = 16.1505 Å
α = 90.00°, β = 90.00°, γ = 90.00°
Last column: nearest neighbours and their distance in Å.
Space group P4/mmm (No. 123)
Unique sites:
Bi  0.0000  0.0000  0.0000 (multiplicity 1)  12 Pd 2.92-2.93
Bi  0.0000  0.0000  0.2574 (multiplicity 2)  12 Pd 2.92-2.94
As  0.0000  0.0000  0.5000 (multiplicity 1)  12 Pd 2.76-2.92
Pd  0.0000  0.5000  0.1283 (multiplicity 4)  8 Pd 2.92-2.94, 4 Bi 2.93
Pd  0.0000  0.5000  0.3868 (multiplicity 4)  8 Pd 2.76-2.93, 2 As 2.76, 2 Bi 2.94
Pd  0.5000  0.5000  0.0000 (multiplicity 1)  4 Bi 2.92, 8 Pd 2.93
Pd  0.5000  0.5000  0.2579 (multiplicity 2)  4 Bi 2.92, 8 Pd 2.93-2.94
Pd  0.5000  0.5000  0.5000 (multiplicity 1)  8 Pd 2.76, 4 As 2.92

---

BiAs2Pd2 | PBE | optimized geometry

Computed properties:
Density of states at the Fermi level = 5.1 states/eV per cell
Calculated formation energy = -145 meV/atom
Energy above the most stable polymorph in this dataset = 0 meV per atom

a = 4.0509 Å, b = 4.0509 Å, c = 12.2620 Å
α = 90.00°, β = 90.00°, γ = 90.00°
Last column: nearest neighbours and their distance in Å.
Space group I4/mmm (No. 139)
Unique sites:
Bi  0.0000  0.0000  0.0000 (multiplicity 2)  8 Pd 3.18
As  0.0000  0.5000  0.2500 (multiplicity 4)  4 Pd 2.63, 4 As 2.86
Pd  0.0000  0.0000  0.3871 (multiplicity 4)  4 As 2.63, 1 Pd 2.77

---

Bi3AsPd | PBE | optimized geometry

Computed properties:
Density of states at the Fermi level = 1.5 states/eV per cell
Calculated formation energy = 776 meV/atom
Energy above the most stable polymorph in this dataset = 316 meV per atom

a = 5.4884 Å, b = 5.4884 Å, c = 5.4884 Å
α = 90.00°, β = 90.00°, γ = 90.00°
Last column: nearest neighbours and their distance in Å.
Space group Pm-3m (No. 221)
Unique sites:
Bi  0.0000  0.0000  0.5000 (multiplicity 3)  2 As 2.74
As  0.0000  0.0000  0.0000 (multiplicity 1)  6 Bi 2.74
Pd  0.5000  0.5000  0.5000 (multiplicity 1)  12 Bi 3.88

---

BiAs2Pd2 | PBE | optimized geometry

Computed properties:
Density of states at the Fermi level = 5.4 states/eV per cell
Calculated formation energy = -113 meV/atom
Energy above the most stable polymorph in this dataset = 32 meV per atom

a = 7.8076 Å, b = 7.8076 Å, c = 3.1887 Å
α = 90.00°, β = 90.00°, γ = 90.00°
Last column: nearest neighbours and their distance in Å.
Space group P4/mbm (No. 127)
Unique sites:
Bi  0.0000  0.0000  0.0000 (multiplicity 2)  4 Pd 3.05, 2 Bi 3.19, 8 As 3.39
As  0.1466  0.3534  0.5000 (multiplicity 4)  6 Pd 2.71-2.91
Pd  0.1333  0.6333  0.0000 (multiplicity 4)  6 As 2.71-2.91, 1 Pd 2.94

---

BiAsPd2 | PBE | optimized geometry

Computed properties:
Density of states at the Fermi level = 6.2 states/eV per cell
Calculated formation energy = -326 meV/atom

a = 7.8684 Å, b = 7.0025 Å, c = 5.8613 Å
α = 90.00°, β = 90.76°, γ = 90.00°
Last column: nearest neighbours and their distance in Å.
Space group P2_1/c (No. 14)
Unique sites:
Bi  0.1200  0.1002  0.2460 (multiplicity 4)  6 Pd 2.88-3.20
As  0.3741  0.5466  0.2985 (multiplicity 4)  6 Pd 2.54-2.69
Pd  0.1782  0.7356  0.0191 (multiplicity 4)  2 As 2.54-2.60
Pd  0.4334  0.2046  0.4925 (multiplicity 4)  4 As 2.55-2.69

---

BiAs2Pd | PBE | optimized geometry

Computed properties:
Density of states at the Fermi level = 4.9 states/eV per cell
Calculated formation energy = -56 meV/atom

a = 4.0733 Å, b = 4.0733 Å, c = 18.8811 Å
α = 90.00°, β = 90.00°, γ = 120.00°
Last column: nearest neighbours and their distance in Å.
Space group R3m (No. 160, hexagonal axes)
Unique sites:
Bi  0.0000  0.0000  0.0000 (multiplicity 3)  1 Pd 3.07, 6 As 3.08-3.14
As  0.0000  0.0000  0.5563 (multiplicity 3)  3 Pd 2.61
As  0.0000  0.0000  0.7722 (multiplicity 3)  3 Pd 2.59
Pd  0.0000  0.0000  0.1626 (multiplicity 3)  6 As 2.59-2.61

---

BiAs3Pd3 | PBE | optimized geometry

Computed properties:
Density of states at the Fermi level = 6.0 states/eV per cell
Calculated formation energy = 104 meV/atom

a = 6.9119 Å, b = 6.9119 Å, c = 6.9119 Å
α = 90.00°, β = 90.00°, γ = 90.00°
Last column: nearest neighbours and their distance in Å.
Space group Pm-3n (No. 223)
Unique sites:
Bi  0.0000  0.0000  0.0000 (multiplicity 2)  12 As 3.86, 12 Pd 3.86
As  0.0000  0.2500  0.5000 (multiplicity 6)  4 Pd 2.44
Pd  0.0000  0.5000  0.2500 (multiplicity 6)  4 As 2.44